Computed, not measured: K2MnCrS4 after structural relaxation at the GGA-PBE level of DFT.

The structure in POSCAR format:
```
K2MnCrS4
1.0
7.813 -0.080 -0.054
-0.086 7.813 -0.054
-3.791 -3.793 5.522
K Mn Cr S
4 2 2 8
direct
0.500 0.000 0.000
0.500 0.000 0.500
0.000 0.000 0.500
0.500 0.500 0.000
0.500 0.500 0.500
0.000 0.000 0.000
0.000 0.500 0.000
0.000 0.500 0.500
0.188 0.716 0.952
0.784 0.312 0.548
0.216 0.688 0.452
0.812 0.284 0.048
0.777 0.723 0.955
0.777 0.723 0.545
0.223 0.277 0.455
0.223 0.277 0.045
```

Space-group type: Imma
ΔE_f (raw) (eV/atom): -0.771
Crystal system: orthorhombic
Total DFT energy (no corrections) (eV per atom): -5.459
Total magnetic moment (Bohr magnetons per cell): 14.0